VASP calculation (PBE) on crystalline PmSbRh4 at its relaxed geometry.

extended XYZ file:
```
6
Lattice="5.3423 0.0000 0.0000 2.6711 4.6266 0.0000 2.6711 1.5422 4.3620" Properties=species:S:1:pos:R:3 pbc="T T T"
Sb 0.0000 0.0000 0.0000
Rh 5.3423 3.0844 0.5333
Rh 5.3423 1.5309 2.7302
Rh 6.6876 3.8611 2.7302
Rh 3.9970 3.8611 2.7302
Pm 2.6711 1.5422 1.0905
```

energy relative to the elements, uncorrected	-2.33	eV/f.u.
calculated volume	17.97	A^3/atom
relative energy among the computed polymorphs	0	meV/atom


VASP calculation (PBE) on crystalline ScZn2SnSb at its relaxed geometry.

extended XYZ file:
```
5
Lattice="5.0434 0.0000 0.0000 0.0000 5.8948 0.0000 0.0000 0.0000 5.0434" Properties=species:S:1:pos:R:3 pbc="T T T"
Sc 2.5217 2.9474 2.5217
Sb 0.0000 0.0000 0.0000
Zn 0.0000 0.0000 2.5217
Zn 2.5217 0.0000 0.0000
Sn 0.0000 2.9474 0.0000
```

energy relative to the elements, uncorrected	2.95	eV/f.u.
calculated volume	29.99	A^3/atom


VASP calculation (PBE) on crystalline Zr2Al5Ru2Au at its relaxed geometry.

extended XYZ file:
```
20
Lattice="-2.5583 0.4230 -3.1653 4.7176 -6.3368 -4.6597 -5.3836 -6.5627 3.4743" Properties=species:S:1:pos:R:3 pbc="T T T"
Zr 2.2406 -5.4582 -2.5403
Zr -2.9065 -7.4412 1.3549
Zr -0.8987 -3.2413 0.2932
Zr 0.2327 -9.6582 -1.4786
Al -0.6480 -1.5534 -2.3286
Al -2.5764 -10.9231 -2.0221
Al -5.2204 -5.3966 0.8534
Al -0.2652 -7.1305 -3.3833
Al 1.9960 -7.0800 -5.2041
Al -2.9592 -5.3460 -0.9674
Al -2.4273 -8.0355 -1.7567
Al -0.7971 -4.4410 -2.5940
Al 1.0796 -2.9569 -3.9125
Al -3.9709 -3.0699 0.1545
Ru -2.7697 -4.7914 1.5984
Ru 2.1037 -8.1081 -2.7838
Ru -1.8423 -9.7047 0.1923
Ru 1.1763 -3.1948 -1.3777
Au 0.0000 0.0000 0.0000
Au -0.3330 -6.4497 -0.5927
```

calculated volume	17.21	A^3/atom
E_form	-490	meV per atom


VASP calculation (PBE) on crystalline Ho2BeC2 at its relaxed geometry.

extended XYZ file:
```
20
Lattice="5.0670 0.0000 0.0000 0.0000 6.9959 0.0000 0.0000 0.0000 8.5087" Properties=species:S:1:pos:R:3 pbc="T T T"
Ho 3.8003 4.4593 5.0485
Ho 1.2668 6.0345 0.7941
Ho 1.2668 2.5366 3.4603
Ho 3.8003 0.9614 7.7146
Ho 3.8003 0.1506 2.9175
Ho 1.2668 3.3473 7.1718
Ho 1.2668 6.8453 5.5913
Ho 3.8003 3.6485 1.3369
Be 3.8003 1.6363 5.0691
Be 1.2668 1.8617 0.8147
Be 1.2668 5.3596 3.4396
Be 3.8003 5.1342 7.6940
C 3.8003 3.4650 7.2156
C 1.2668 0.0330 2.9613
C 1.2668 3.5309 1.2931
C 3.8003 6.9629 5.5475
C 3.8003 5.9749 0.6794
C 1.2668 4.5189 4.9338
C 1.2668 1.0210 7.8293
C 3.8003 2.4770 3.5749
```

calculated volume	15.08	A^3/atom
E_form	-227	meV per atom


VASP calculation (PBE) on crystalline YCu2Ge2 at its relaxed geometry.

extended XYZ file:
```
10
Lattice="7.4390 0.0000 0.0000 0.0000 7.4390 0.0000 0.0000 0.0000 3.1223" Properties=species:S:1:pos:R:3 pbc="T T T"
Y 0.0000 0.0000 0.0000
Y 3.7195 3.7195 0.0000
Ge 1.3293 5.0488 1.5612
Ge 5.0488 6.1097 1.5612
Ge 6.1097 2.3902 1.5612
Ge 2.3902 1.3293 1.5612
Cu 2.8441 6.5636 0.0000
Cu 6.5636 4.5949 0.0000
Cu 4.5949 0.8754 0.0000
Cu 0.8754 2.8441 0.0000
```

calculated volume	17.28	A^3/atom
E_form	-161	meV per atom


VASP calculation (PBE) on crystalline TaTl2Cl at its relaxed geometry.

extended XYZ file:
```
4
Lattice="-0.7854 0.6654 5.0114 3.5894 -1.4113 3.3613 2.6502 3.5527 2.5551" Properties=species:S:1:pos:R:3 pbc="T T T"
Cl 2.7271 1.4034 5.4639
Ta 1.3635 0.7017 2.7320
Tl 0.0000 0.0000 0.0000
Tl 4.0906 2.1051 8.1959
```

energy relative to the elements, uncorrected	3.05	eV/f.u.
calculated volume	23.67	A^3/atom
relative energy among the computed polymorphs	856	meV/atom


Q: calculated volume of number 3 (Zr2Al5Ru2Au)?
A: 17.21 A^3/atom


Q: The lowest calculated volume belongs to which entry?
A: Ho2BeC2


Q: calculated volume of number 6 (TaTl2Cl)?
A: 23.67 A^3/atom